[1]
Below is a geometry-optimized LiSm3Ni3 structure, with properties calculated at the PBE-GGA level.

a b c (Å): 4.140 5.455 13.529
angles (deg): 90.00 90.00 112.30
Sites, in units of the cell vectors:
Ni  0.910  0.820  0.906
Ni  0.772  0.543  0.750
Ni  0.228  0.457  0.250
Ni  0.090  0.180  0.094
Ni  0.090  0.180  0.406
Ni  0.910  0.820  0.594
Sm  0.800  0.601  0.104
Sm  0.200  0.399  0.896
Sm  0.521  0.042  0.250
Sm  0.200  0.399  0.604
Sm  0.479  0.958  0.750
Sm  0.800  0.601  0.396
Li  0.500  0.000  0.000
Li  0.500  0.000  0.500

Output
* energy of formation: -0.27 eV per atom
* size of the total moment: 0.0 μB per formula unit
* symmetry: Cmcm
* E_tot: -5.045 eV per atom

---

[2]
Below is a geometry-optimized PmInSb2 structure, with properties calculated at the PBE-GGA level.

a b c (Å): 4.170 4.170 6.484
angles (deg): 90.00 90.00 90.00
Sites, in units of the cell vectors:
In  0.500  0.500  0.000
Sb  0.000  0.000  0.262
Sb  0.000  0.000  0.738
Pm  0.500  0.500  0.500

Output
* size of the total moment: 0.0 μB per formula unit
* symmetry: P4/mmm
* raw formation energy: -539 meV/atom
* E_tot: -4.473 eV per atom
* energy above the most stable polymorph in this dataset: 5 meV per atom

---

[3]
Below is a geometry-optimized Rb3Pm structure, with properties calculated at the PBE-GGA level.

a b c (Å): 7.225 7.225 7.225
angles (deg): 60.00 60.00 60.00
Last column: magnetic moment on the atom in μB.
Sites, in units of the cell vectors:
Rb  0.250  0.250  0.250  0.02
Rb  0.750  0.750  0.750  0.02
Rb  0.500  0.500  0.500  0.02
Pm  0.000  0.000  0.000  0.62

Output
* energy of formation: 0.62 eV per atom
* size of the total moment: 1.9 μB per formula unit
* symmetry: Fm-3m
* E_tot: -1.298 eV per atom
* energy above the most stable polymorph in this dataset: 18 meV per atom

---

[4]
Below is a geometry-optimized CsBa2LiIr structure, with properties calculated at the PBE-GGA level.

a b c (Å): 6.142 6.142 5.706
angles (deg): 90.00 90.00 90.00
Sites, in units of the cell vectors:
Li  0.000  0.000  0.500
Ba  0.000  0.500  0.000
Ba  0.500  0.000  0.000
Cs  0.500  0.500  0.500
Ir  0.000  0.000  0.000

Output
* energy of formation: 0.15 eV per atom
* size of the total moment: 0.6 μB per formula unit
* symmetry: P4/mmm
* E_tot: -2.944 eV per atom

---

[5]
Below is a geometry-optimized TcMo structure, with properties calculated at the PBE-GGA level.

a b c (Å): 9.157 9.157 3.110
angles (deg): 90.00 90.00 90.00
Sites, in units of the cell vectors:
Mo  0.327  0.000  0.000
Mo  0.827  0.500  0.500
Mo  0.173  0.500  0.500
Mo  0.500  0.173  0.500
Mo  0.000  0.673  0.000
Mo  0.500  0.827  0.500
Mo  0.673  0.000  0.000
Mo  0.000  0.327  0.000
Tc  0.665  0.665  0.000
Tc  0.835  0.165  0.500
Tc  0.165  0.835  0.500
Tc  0.665  0.335  0.000
Tc  0.335  0.335  0.000
Tc  0.165  0.165  0.500
Tc  0.835  0.835  0.500
Tc  0.335  0.665  0.000

Output
* energy of formation: 0.28 eV per atom
* size of the total moment: 0.0 μB per formula unit
* symmetry: I4/mmm
* E_tot: -10.323 eV per atom
* energy above the most stable polymorph in this dataset: 200 meV per atom

---

[6]
Below is a geometry-optimized Al3Cr4 structure, with properties calculated at the PBE-GGA level.

a b c (Å): 10.372 10.372 10.372
angles (deg): 163.41 163.41 23.55
Last column: magnetic moment on the atom in μB.
Sites, in units of the cell vectors:
Cr  0.135  0.135  0.000  -0.69
Cr  0.425  0.425  0.000  1.11
Cr  0.865  0.865  0.000  -0.69
Cr  0.575  0.575  0.000  1.11
Al  0.000  0.000  0.000  -0.03
Al  0.292  0.292  0.000  0.01
Al  0.708  0.708  0.000  0.01

Output
* energy of formation: -0.14 eV per atom
* size of the total moment: 0.9 μB per formula unit
* symmetry: I4/mmm
* E_tot: -7.248 eV per atom
* energy above the most stable polymorph in this dataset: 0 meV per atom

---

[7]
Below is a geometry-optimized CaMg2SbN structure, with properties calculated at the PBE-GGA level.

a b c (Å): 4.419 4.419 4.852
angles (deg): 90.00 90.00 90.00
Sites, in units of the cell vectors:
Ca  0.000  0.000  0.500
Sb  0.500  0.500  0.500
Mg  0.000  0.500  0.000
Mg  0.500  0.000  0.000
N  0.000  0.000  0.000

Output
* size of the total moment: 0.0 μB per formula unit
* symmetry: P4/mmm
* raw formation energy: -759 meV/atom
* E_tot: -4.286 eV per atom

---

[8]
Below is a geometry-optimized RbCdAsBr6 structure, with properties calculated at the PBE-GGA level.

a b c (Å): 7.145 7.145 7.691
angles (deg): 90.00 90.00 60.00
Sites, in units of the cell vectors:
Cd  0.667  0.667  0.500
Br  0.620  0.014  0.295
Br  0.620  0.366  0.705
Br  0.013  0.366  0.295
Br  0.366  0.014  0.705
Br  0.366  0.620  0.295
Br  0.013  0.620  0.705
Rb  0.000  0.000  0.000
As  0.333  0.333  0.500

Output
* size of the total moment: 0.0 μB per formula unit
* symmetry: P312
* raw formation energy: -863 meV/atom
* E_tot: -2.704 eV per atom